No. 1
Si3PbBr (PBE-GGA, relaxed); offset from the most stable computed form = 0.0 meV/atom; Fermi-level density of states = 3.05 states/eV per cell; E_form (uncorrected) = 1.168 eV/atom
1.0
-1.7969 -1.6150 4.4609
-1.5707 -4.2985 -2.1889
4.4766 -2.1565 1.0225
Pb Si Br
1 3 1
Direct
0.5000 0.5000 0.5000 Pb
0.0000 0.5000 0.0000 Si
0.0000 0.0000 0.5000 Si
0.5000 0.0000 0.0000 Si
0.0000 0.0000 0.0000 Br

No. 2
Si2PbBr (PBE-GGA, relaxed); offset from the most stable computed form = 297.3 meV/atom; Fermi-level density of states = 1.41 states/eV per cell; E_form (uncorrected) = 0.303 eV/atom
1.0
5.9556 0.0000 0.0000
0.0000 3.8016 -0.0131
0.0000 0.2765 5.1094
Br Pb Si
1 1 2
Direct
0.5000 0.2500 0.2500 Br
0.5000 0.7500 0.7500 Pb
0.0000 0.9939 0.8766 Si
0.0000 0.5061 0.6234 Si

No. 3
Si2PbBr (PBE-GGA, relaxed); offset from the most stable computed form = 271.7 meV/atom; Fermi-level density of states = 1.19 states/eV per cell; E_form (uncorrected) = 0.277 eV/atom
1.0
-2.5514 0.7364 2.2217
0.7905 -3.3270 0.5424
5.5901 2.2530 5.6727
Br Pb Si
1 1 2
Direct
0.0000 0.0000 0.4938 Br
0.5000 0.5000 0.7684 Pb
0.0000 0.0000 0.0447 Si
0.5000 0.5000 0.1931 Si

No. 4
SiPbBr2 (PBE-GGA, relaxed); offset from the most stable computed form = 295.1 meV/atom; Fermi-level density of states = 1.91 states/eV per cell; E_form (uncorrected) = 0.098 eV/atom
1.0
3.6441 -0.0075 0.0000
-1.8721 3.1264 0.0000
0.0000 0.0000 10.2612
Br Pb Si
2 1 1
Direct
0.0000 0.0000 0.9527 Br
0.5000 0.5000 0.2764 Br
0.0000 0.0000 0.4973 Pb
0.5000 0.5000 0.7736 Si

No. 5
SiPbBr2 (PBE-GGA, relaxed); offset from the most stable computed form = 94.7 meV/atom; Fermi-level density of states = 0.67 states/eV per cell; E_form (uncorrected) = -0.103 eV/atom
1.0
7.5689 0.1493 -0.0021
4.7919 5.8607 0.0021
-5.8147 -3.7571 3.0633
Br Pb Si
2 1 1
Direct
0.1019 0.1019 0.0000 Br
0.3981 0.3981 0.0000 Br
0.7500 0.2500 0.5000 Pb
0.2500 0.7500 0.5000 Si

No. 6
SiPbBr4 (PBE-GGA, relaxed); Fermi-level density of states = 8.44 states/eV per cell; E_form (uncorrected) = 0.662 eV/atom
1.0
-1.7159 -4.9046 -3.5764
-4.3353 0.7558 -4.5193
1.6998 -0.2245 -6.0704
Si Pb Br
1 1 4
Direct
0.0000 0.0000 0.0000 Si
0.7500 0.7500 0.7500 Pb
0.8757 0.3748 0.3748 Br
0.3748 0.3748 0.8757 Br
0.3748 0.8757 0.3748 Br
0.3748 0.3748 0.3748 Br

No. 7
Si2PbBr (PBE-GGA, relaxed); offset from the most stable computed form = 741.8 meV/atom; Fermi-level density of states = 2.91 states/eV per cell; E_form (uncorrected) = 0.747 eV/atom
1.0
5.5518 0.0000 0.0000
0.0000 5.5518 0.0000
2.7759 2.7759 7.7523
Pb Si Br
2 4 2
Direct
0.0000 0.0000 0.0000 Pb
0.7500 0.2500 0.5000 Pb
0.5978 0.1250 0.2500 Si
0.1522 0.6250 0.2500 Si
0.3750 0.4022 0.7500 Si
0.8750 0.8478 0.7500 Si
0.5000 0.5000 0.0000 Br
0.2500 0.7500 0.5000 Br

No. 8
Si2PbBr (PBE-GGA, relaxed); offset from the most stable computed form = 628.9 meV/atom; Fermi-level density of states = 2.60 states/eV per cell; E_form (uncorrected) = 0.634 eV/atom
1.0
-4.8937 7.4648 -2.1023
-4.8259 5.8265 -5.1821
-7.2042 4.9417 -2.7875
Br Pb Si
1 1 2
Direct
0.2500 0.2500 0.2500 Br
0.7500 0.7500 0.7500 Pb
0.9967 0.9967 0.9967 Si
0.5033 0.5033 0.5033 Si

| no. | total moment (μB per formula unit) | E (eV per cell) |
| --- | --- | --- |
| 1 | 0.0 | -15.81 |
| 2 | 0.0 | -15.02 |
| 3 | 0.0 | -15.12 |
| 4 | 0.0 | -12.09 |
| 5 | 0.0 | -12.89 |
| 6 | 1.8 | -11.85 |
| 7 | 0.0 | -26.48 |
| 8 | 0.0 | -13.69 |